The following is a PBE-GGA calculation of a relaxed NaLa2BiO6 crystal, from Alexandria.

Lattice parameters (Å, degrees): 5.8246 6.1309 10.2284 90.00 123.26 90.00
Closest atoms and distances in Å follow each position.
Sites, in units of the cell vectors:
Na 0.0000 0.0000 0.0000  6 O 2.33-2.50
Na 0.0000 0.5000 0.5000  6 O 2.33-2.50
La 0.2200 0.0589 0.7443  5 O 2.39-2.63
La 0.2200 0.4411 0.2443  5 O 2.39-2.63
La 0.7800 0.5589 0.7557  5 O 2.39-2.63
La 0.7800 0.9411 0.2557  5 O 2.39-2.63
Bi 0.5000 0.0000 0.5000  6 O 2.12-2.16
Bi 0.5000 0.5000 0.0000  6 O 2.12-2.16
O 0.1465 0.1831 0.4413  1 Bi 2.12, 1 Na 2.33
O 0.1465 0.3169 0.9413  1 Bi 2.12, 1 Na 2.33
O 0.2385 0.7159 0.4153  1 Bi 2.16, 1 La 2.39, 1 Na 2.40
O 0.2385 0.7841 0.9153  1 Bi 2.16, 1 La 2.39, 1 Na 2.40
O 0.4073 0.0699 0.2697  1 Bi 2.15, 1 La 2.39
O 0.4073 0.4301 0.7697  1 Bi 2.15, 1 La 2.39
O 0.5927 0.5699 0.2303  1 Bi 2.15, 1 La 2.39
O 0.5927 0.9301 0.7303  1 Bi 2.15, 1 La 2.39
O 0.7615 0.2159 0.0847  1 Bi 2.16, 1 La 2.39, 1 Na 2.40
O 0.7615 0.2841 0.5847  1 Bi 2.16, 1 La 2.39, 1 Na 2.40
O 0.8535 0.6831 0.0587  1 Bi 2.12, 1 Na 2.33
O 0.8535 0.8169 0.5587  1 Bi 2.12, 1 Na 2.33

For the density of states at the Fermi level, the calculation gives 0.00 states/eV/f.u. Its magnetization is 0.00 Bohr magnetons per cell. The total energy comes out at -136.19 eV/cell.

The following is a PBE-GGA calculation of a relaxed TbTm2Pd3 crystal, from Alexandria.

Lattice parameters (Å, degrees): 7.8626 7.8626 3.4129 90.00 90.00 143.17
Closest atoms and distances in Å follow each position.
Sites, in units of the cell vectors:
Tb 0.0000 0.0000 0.0000  8 Pd 3.01-3.07
Tm 0.3331 0.6669 0.0000  8 Pd 2.96-3.02
Tm 0.6669 0.3331 0.0000  8 Pd 2.96-3.02
Pd 0.1707 0.8293 0.5000  6 Tm 2.96-3.01, 2 Tb 3.07
Pd 0.5000 0.5000 0.5000  4 Tb 3.01, 4 Tm 3.02
Pd 0.8293 0.1707 0.5000  6 Tm 2.96-3.01, 2 Tb 3.07

For the density of states at the Fermi level, the calculation gives 2.77 states/eV/f.u. The calculation puts the distance to the lowest polymorph of the same formula at 0.00 eV/f.u. Its magnetization is 0.00 Bohr magnetons per cell. The total energy comes out at -34.66 eV/cell. As for the formation energy from the elements: -531 kJ/mol of formula units.

The following is a PBE-GGA calculation of a relaxed Nd4YEr15 crystal, from Alexandria.

Lattice parameters (Å, degrees): 5.0199 5.0199 24.9998 90.00 90.00 90.00
Closest atoms and distances in Å follow each position.
Sites, in units of the cell vectors:
Nd 0.0000 0.0000 0.1002  12 Er 3.54-3.55
Nd 0.0000 0.0000 0.3002  12 Er 3.54-3.55
Nd 0.0000 0.0000 0.6998  12 Er 3.54-3.55
Nd 0.0000 0.0000 0.8998  12 Er 3.54-3.55
Y 0.0000 0.0000 0.5000  12 Er 3.53-3.55
Er 0.0000 0.5000 0.0000  8 Er 3.54-3.55, 4 Nd 3.55
Er 0.0000 0.5000 0.2004  4 Nd 3.54, 8 Er 3.55
Er 0.0000 0.5000 0.4008  8 Er 3.53-3.55, 2 Y 3.53, 2 Nd 3.55
Er 0.0000 0.5000 0.5992  8 Er 3.53-3.55, 2 Y 3.53, 2 Nd 3.55
Er 0.0000 0.5000 0.7996  4 Nd 3.54, 8 Er 3.55
Er 0.5000 0.0000 0.0000  8 Er 3.54-3.55, 4 Nd 3.55
Er 0.5000 0.0000 0.2004  4 Nd 3.54, 8 Er 3.55
Er 0.5000 0.0000 0.4008  8 Er 3.53-3.55, 2 Y 3.53, 2 Nd 3.55
Er 0.5000 0.0000 0.5992  8 Er 3.53-3.55, 2 Y 3.53, 2 Nd 3.55
Er 0.5000 0.0000 0.7996  4 Nd 3.54, 8 Er 3.55
Er 0.5000 0.5000 0.1001  8 Er 3.54-3.55, 4 Nd 3.55
Er 0.5000 0.5000 0.3007  8 Er 3.54-3.55, 4 Nd 3.55
Er 0.5000 0.5000 0.5000  8 Er 3.53, 4 Y 3.55
Er 0.5000 0.5000 0.6993  8 Er 3.54-3.55, 4 Nd 3.55
Er 0.5000 0.5000 0.8999  8 Er 3.54-3.55, 4 Nd 3.55

For the density of states at the Fermi level, the calculation gives 27.30 states/eV/f.u. Its magnetization is 0.00 Bohr magnetons per cell. The total energy comes out at -93.50 eV/cell. As for the formation energy from the elements: 46 kJ/mol of formula units.

The following is a PBE-GGA calculation of a relaxed BeRu crystal, from Alexandria.

Lattice parameters (Å, degrees): 6.4663 6.4663 3.9889 90.00 90.00 120.00
Closest atoms and distances in Å follow each position.
Sites, in units of the cell vectors:
Be 0.0384 0.2308 0.2500  4 Ru 2.23-2.35, 6 Be 2.40-2.43
Be 0.1923 0.9616 0.2500  4 Ru 2.23-2.35, 6 Be 2.40-2.43
Be 0.2308 0.1923 0.7500  4 Ru 2.23-2.35, 6 Be 2.40-2.43
Be 0.7692 0.8077 0.2500  4 Ru 2.23-2.35, 6 Be 2.40-2.43
Be 0.8077 0.0384 0.7500  4 Ru 2.23-2.35, 6 Be 2.40-2.43
Be 0.9616 0.7692 0.7500  4 Ru 2.23-2.35, 6 Be 2.40-2.43
Ru 0.0865 0.4415 0.7500  4 Be 2.23-2.35
Ru 0.3550 0.9135 0.7500  4 Be 2.23-2.35
Ru 0.4415 0.3550 0.2500  4 Be 2.23-2.35
Ru 0.5585 0.6450 0.7500  4 Be 2.23-2.35
Ru 0.6450 0.0865 0.2500  4 Be 2.23-2.35
Ru 0.9135 0.5585 0.2500  4 Be 2.23-2.35

For the density of states at the Fermi level, the calculation gives 1.33 states/eV/f.u. Its magnetization is 0.00 Bohr magnetons per cell. The total energy comes out at -76.10 eV/cell. As for the formation energy from the elements: 31 kJ/mol of formula units.

The following is a PBE-GGA calculation of a relaxed Eu2BeTe crystal, from Alexandria.

Lattice parameters (Å, degrees): 7.8942 7.8942 7.8942 32.53 32.53 32.53
Closest atoms and distances in Å follow each position.
Sites, in units of the cell vectors:
Eu 0.2457 0.2457 0.2457  3 Be 3.11, 3 Te 3.22
Eu 0.7543 0.7543 0.7543  3 Be 3.11, 3 Te 3.22
Be 0.5000 0.5000 0.5000  6 Eu 3.11
Te 0.0000 0.0000 0.0000  6 Eu 3.22

For the density of states at the Fermi level, the calculation gives 15.80 states/eV/f.u. The calculation puts the distance to the lowest polymorph of the same formula at 0.14 eV/f.u. Its magnetization is 15.28 Bohr magnetons per cell. The total energy comes out at -29.12 eV/cell.

The following is a PBE-GGA calculation of a relaxed PRuI2N crystal, from Alexandria.

Lattice parameters (Å, degrees): 5.4842 5.4842 3.6981 90.00 90.00 90.00
Closest atoms and distances in Å follow each position.
Sites, in units of the cell vectors:
P 0.0000 0.0000 0.0000  8 I 3.31, 2 P 3.70
Ru 0.5000 0.5000 0.5000  2 N 1.85
I 0.0000 0.5000 0.5000  2 Ru 2.74
I 0.5000 0.0000 0.5000  2 Ru 2.74
N 0.5000 0.5000 0.0000  2 Ru 1.85

For the density of states at the Fermi level, the calculation gives 3.69 states/eV/f.u. The calculation puts the distance to the lowest polymorph of the same formula at 0.00 eV/f.u. Its magnetization is 0.00 Bohr magnetons per cell. The total energy comes out at -22.17 eV/cell.

The following is a PBE-GGA calculation of a relaxed BaHgBi crystal, from Alexandria.

Lattice parameters (Å, degrees): 5.3874 5.3874 7.6972 90.00 90.00 90.00
Closest atoms and distances in Å follow each position.
Sites, in units of the cell vectors:
Ba 0.2500 0.2500 0.2125  4 Hg 3.49, 5 Bi 3.61-3.82
Ba 0.7500 0.7500 0.7875  4 Hg 3.49, 5 Bi 3.61-3.82
Hg 0.2500 0.7500 0.5000  4 Bi 3.28, 4 Ba 3.49
Hg 0.7500 0.2500 0.5000  4 Bi 3.28, 4 Ba 3.49
Bi 0.2500 0.2500 0.7434  4 Hg 3.28, 1 Ba 3.61
Bi 0.7500 0.7500 0.2566  4 Hg 3.28, 1 Ba 3.61

For the density of states at the Fermi level, the calculation gives 2.34 states/eV/f.u. The calculation puts the distance to the lowest polymorph of the same formula at 0.02 eV/f.u. Its magnetization is 0.00 Bohr magnetons per cell. The total energy comes out at -15.70 eV/cell. As for the formation energy from the elements: -168 kJ/mol of formula units.

The following is a PBE-GGA calculation of a relaxed Cr2GeAs crystal, from Alexandria.

Lattice parameters (Å, degrees): 4.2453 4.2453 4.2453 60.00 60.00 60.00
Closest atoms and distances in Å follow each position.
Sites, in units of the cell vectors:
Cr 0.2500 0.2500 0.2500  4 As 2.60, 4 Ge 2.60
Cr 0.7500 0.7500 0.7500  4 As 2.60, 4 Ge 2.60
Ge 0.0000 0.0000 0.0000  8 Cr 2.60
As 0.5000 0.5000 0.5000  8 Cr 2.60

For the density of states at the Fermi level, the calculation gives 3.65 states/eV/f.u. The calculation puts the distance to the lowest polymorph of the same formula at 0.01 eV/f.u. Its magnetization is 2.45 Bohr magnetons per cell. The total energy comes out at -27.82 eV/cell. As for the formation energy from the elements: 67 kJ/mol of formula units.